A plane-wave DFT calculation with PBE was carried out for a relaxed AcPmSmHo crystal.

The calculation puts the energy above the most stable polymorph in this dataset at 0.0 kJ per mole of atoms. For the calculated volume, the calculation gives 143.91 Å³/cell. As for the space-group type: F-43m.

```
data_AcPmSmHo
_cell_length_a 5.882
_cell_length_b 5.882
_cell_length_c 5.882
_cell_angle_alpha 60.00
_cell_angle_beta 60.00
_cell_angle_gamma 60.00
_space_group_name_H-M_alt 'P 1'
_space_group_IT_number 1
_space_group_name_Hall 'P 1'
loop_
_atom_site_label
_atom_site_type_symbol
_atom_site_fract_x
_atom_site_fract_y
_atom_site_fract_z
_atom_site_occupancy
Pm1 Pm 0.000 0.000 0.000 1
Ho1 Ho 0.750 0.750 0.750 1
Sm1 Sm 0.250 0.250 0.250 1
Ac1 Ac 0.500 0.500 0.500 1
```